Entry 1:
{"formula": "NaTmPb2", "functional": "PBE", "state": "relaxed", "cell": [[4.934, 0.000, 0.000], [0.000, 4.934, 0.000], [0.000, 0.000, 4.457]], "species": ["Na", "Tm", "Pb", "Pb"], "fractional_positions": [[0.000, 0.000, 0.000], [0.500, 0.500, 0.000], [0.000, 0.500, 0.500], [0.500, 0.000, 0.500]], "e_tot_ev_per_atom": -3.574, "volume_a3_per_atom": 27.13, "space_group": "No. 123", "e_form_ev_per_atom": -0.272}

---

Entry 2:
{"formula": "Zn2AgAsF", "functional": "PBE", "state": "relaxed", "cell": [[5.030, 0.000, 0.000], [0.000, 5.030, 0.000], [0.000, 0.000, 4.107]], "species": ["Zn", "Zn", "Ag", "As", "F"], "fractional_positions": [[0.000, 0.500, 0.000], [0.500, 0.000, 0.000], [0.000, 0.000, 0.000], [0.500, 0.500, 0.500], [0.000, 0.000, 0.500]], "e_tot_ev_per_atom": -2.257, "e_form_raw_mev_per_atom": 127.1, "volume_a3_per_atom": 20.79, "space_group": "No. 123"}